Below is a geometry-optimized PmHo2MgHg4 structure, with properties calculated at the GGA-PBE level.

Computed properties:
Calculated total energy   -2.5350 eV/atom
Mass density   10.802 g cm⁻³
DFT formation energy   -0.447 eV per atom

Structure (CIF):
```
data_PmHo2MgHg4
_chemical_formula_sum 'Pm1 Ho2 Mg1 Hg4'
_cell_length_a 5.136
_cell_length_b 5.136
_cell_length_c 9.246
_cell_angle_alpha 73.87
_cell_angle_beta 73.87
_cell_angle_gamma 60.00
_space_group_name_H-M_alt 'P 1'
_space_group_IT_number 1
loop_
_space_group_symop_operation_xyz
'x,y,z'
loop_
_atom_site_label
_atom_site_fract_x
_atom_site_fract_y
_atom_site_fract_z
_atom_site_occupancy
Pm1 0.000 0.000 0.000 1
Ho1 0.756 0.756 0.731 1
Ho2 0.244 0.244 0.269 1
Mg1 0.500 0.500 0.500 1
Hg1 0.379 0.379 0.863 1
Hg2 0.874 0.874 0.378 1
Hg3 0.126 0.126 0.622 1
Hg4 0.621 0.621 0.137 1
```

=====

Below is a geometry-optimized PmHoMg2Hg4 structure, with properties calculated at the GGA-PBE level.

Computed properties:
Calculated total energy   -2.1794 eV/atom
Mass density   10.231 g cm⁻³
DFT formation energy   -0.464 eV per atom

Structure (CIF):
```
data_PmHoMg2Hg4
_chemical_formula_sum 'Pm1 Ho1 Mg2 Hg4'
_cell_length_a 5.098
_cell_length_b 5.098
_cell_length_c 8.873
_cell_angle_alpha 73.31
_cell_angle_beta 73.31
_cell_angle_gamma 60.00
_space_group_name_H-M_alt 'P 1'
_space_group_IT_number 1
loop_
_space_group_symop_operation_xyz
'x,y,z'
loop_
_atom_site_label
_atom_site_fract_x
_atom_site_fract_y
_atom_site_fract_z
_atom_site_occupancy
Pm1 0.000 0.000 0.000 1
Ho1 0.500 0.500 0.500 1
Mg1 0.750 0.750 0.749 1
Mg2 0.250 0.250 0.251 1
Hg1 0.378 0.378 0.867 1
Hg2 0.873 0.873 0.381 1
Hg3 0.127 0.127 0.619 1
Hg4 0.622 0.622 0.133 1
```

=====

Below is a geometry-optimized PrHoMgHg structure, with properties calculated at the GGA-PBE level.

Computed properties:
Calculated total energy   -3.0690 eV/atom
Relative energy among the computed polymorphs   2.4 kJ per mole of atoms
Mass density   7.974 g cm⁻³
DFT formation energy   -0.256 eV per atom

Structure (CIF):
```
data_PrHoMgHg
_chemical_formula_sum 'Pr1 Ho1 Mg1 Hg1'
_cell_length_a 5.387
_cell_length_b 5.387
_cell_length_c 5.387
_cell_angle_alpha 60.00
_cell_angle_beta 60.00
_cell_angle_gamma 60.00
_space_group_name_H-M_alt 'P 1'
_space_group_IT_number 1
loop_
_space_group_symop_operation_xyz
'x,y,z'
loop_
_atom_site_label
_atom_site_fract_x
_atom_site_fract_y
_atom_site_fract_z
_atom_site_occupancy
Pr1 0.750 0.750 0.750 1
Mg1 0.000 0.000 0.000 1
Hg1 0.500 0.500 0.500 1
Ho1 0.250 0.250 0.250 1
```

=====

Below is a geometry-optimized PrHoMgHg structure, with properties calculated at the GGA-PBE level.

Computed properties:
Calculated total energy   -3.0936 eV/atom
Relative energy among the computed polymorphs   0.0 kJ per mole of atoms
Mass density   7.977 g cm⁻³
DFT formation energy   -0.280 eV per atom

Structure (CIF):
```
data_PrHoMgHg
_chemical_formula_sum 'Pr1 Ho1 Mg1 Hg1'
_cell_length_a 3.788
_cell_length_b 3.788
_cell_length_c 7.699
_cell_angle_alpha 90.00
_cell_angle_beta 90.00
_cell_angle_gamma 90.00
_space_group_name_H-M_alt 'P 1'
_space_group_IT_number 1
loop_
_space_group_symop_operation_xyz
'x,y,z'
loop_
_atom_site_label
_atom_site_fract_x
_atom_site_fract_y
_atom_site_fract_z
_atom_site_occupancy
Pr1 0.000 0.000 0.857 1
Ho1 0.000 0.000 0.350 1
Mg1 0.500 0.500 0.590 1
Hg1 0.500 0.500 0.132 1
```

=====

Below is a geometry-optimized PrHo2MgHg4 structure, with properties calculated at the GGA-PBE level.

Computed properties:
Calculated total energy   -2.5313 eV/atom
Mass density   10.592 g cm⁻³
DFT formation energy   -0.439 eV per atom

Structure (CIF):
```
data_PrHo2MgHg4
_chemical_formula_sum 'Pr1 Ho2 Mg1 Hg4'
_cell_length_a 5.115
_cell_length_b 5.115
_cell_length_c 9.449
_cell_angle_alpha 74.29
_cell_angle_beta 74.29
_cell_angle_gamma 60.00
_space_group_name_H-M_alt 'P 1'
_space_group_IT_number 1
loop_
_space_group_symop_operation_xyz
'x,y,z'
loop_
_atom_site_label
_atom_site_fract_x
_atom_site_fract_y
_atom_site_fract_z
_atom_site_occupancy
Pr1 0.000 0.000 0.000 1
Ho1 0.758 0.758 0.726 1
Ho2 0.242 0.242 0.274 1
Mg1 0.500 0.500 0.500 1
Hg1 0.382 0.382 0.853 1
Hg2 0.873 0.873 0.380 1
Hg3 0.127 0.127 0.620 1
Hg4 0.618 0.618 0.147 1
```

=====

Below is a geometry-optimized HoPuMg2Hg4 structure, with properties calculated at the GGA-PBE level.

Computed properties:
Calculated total energy   -3.2420 eV/atom
Mass density   11.139 g cm⁻³
DFT formation energy   -0.329 eV per atom

Structure (CIF):
```
data_HoPuMg2Hg4
_chemical_formula_sum 'Ho1 Pu1 Mg2 Hg4'
_cell_length_a 5.095
_cell_length_b 5.095
_cell_length_c 8.857
_cell_angle_alpha 73.28
_cell_angle_beta 73.28
_cell_angle_gamma 60.00
_space_group_name_H-M_alt 'P 1'
_space_group_IT_number 1
loop_
_space_group_symop_operation_xyz
'x,y,z'
loop_
_atom_site_label
_atom_site_fract_x
_atom_site_fract_y
_atom_site_fract_z
_atom_site_occupancy
Ho1 0.500 0.500 0.500 1
Pu1 0.000 0.000 0.000 1
Mg1 0.750 0.750 0.751 1
Mg2 0.250 0.250 0.249 1
Hg1 0.377 0.377 0.869 1
Hg2 0.874 0.874 0.379 1
Hg3 0.126 0.126 0.621 1
Hg4 0.623 0.623 0.131 1
```

=====

Below is a geometry-optimized HoMgHgSb structure, with properties calculated at the GGA-PBE level.

Computed properties:
Calculated total energy   -3.0352 eV/atom
Mass density   8.498 g cm⁻³
Uncorrected formation energy   -0.386 eV/atom

Structure (CIF):
```
data_HoMgHgSb
_chemical_formula_sum 'Ho1 Mg1 Hg1 Sb1'
_cell_length_a 5.209
_cell_length_b 5.209
_cell_length_c 5.209
_cell_angle_alpha 60.00
_cell_angle_beta 60.00
_cell_angle_gamma 60.00
_space_group_name_H-M_alt 'P 1'
_space_group_IT_number 1
loop_
_space_group_symop_operation_xyz
'x,y,z'
loop_
_atom_site_label
_atom_site_fract_x
_atom_site_fract_y
_atom_site_fract_z
_atom_site_occupancy
Sb1 0.000 0.000 0.000 1
Mg1 0.250 0.250 0.250 1
Hg1 0.500 0.500 0.500 1
Ho1 0.750 0.750 0.750 1
```

=====

Below is a geometry-optimized HoMgSc2Hg4 structure, with properties calculated at the GGA-PBE level.

Computed properties:
Calculated total energy   -2.9111 eV/atom
Mass density   9.965 g cm⁻³
DFT formation energy   -0.406 eV per atom

Structure (CIF):
```
data_HoMgSc2Hg4
_chemical_formula_sum 'Ho1 Mg1 Sc2 Hg4'
_cell_length_a 5.004
_cell_length_b 5.004
_cell_length_c 8.797
_cell_angle_alpha 73.47
_cell_angle_beta 73.47
_cell_angle_gamma 60.00
_space_group_name_H-M_alt 'P 1'
_space_group_IT_number 1
loop_
_space_group_symop_operation_xyz
'x,y,z'
loop_
_atom_site_label
_atom_site_fract_x
_atom_site_fract_y
_atom_site_fract_z
_atom_site_occupancy
Ho1 0.000 0.000 0.000 1
Mg1 0.500 0.500 0.500 1
Sc1 0.754 0.754 0.738 1
Sc2 0.246 0.246 0.262 1
Hg1 0.377 0.377 0.868 1
Hg2 0.874 0.874 0.377 1
Hg3 0.126 0.126 0.623 1
Hg4 0.623 0.623 0.132 1
```

=====

Below is a geometry-optimized HoMgSnHg structure, with properties calculated at the GGA-PBE level.

Computed properties:
Calculated total energy   -3.0796 eV/atom
Relative energy among the computed polymorphs   0.0 kJ per mole of atoms
Mass density   8.827 g cm⁻³
DFT formation energy   -0.460 eV per atom

Structure (CIF):
```
data_HoMgSnHg
_chemical_formula_sum 'Ho1 Mg1 Sn1 Hg1'
_cell_length_a 4.242
_cell_length_b 4.614
_cell_length_c 4.888
_cell_angle_alpha 90.00
_cell_angle_beta 90.00
_cell_angle_gamma 90.00
_space_group_name_H-M_alt 'P 1'
_space_group_IT_number 1
loop_
_space_group_symop_operation_xyz
'x,y,z'
loop_
_atom_site_label
_atom_site_fract_x
_atom_site_fract_y
_atom_site_fract_z
_atom_site_occupancy
Ho1 0.000 0.500 0.500 1
Mg1 0.000 0.000 0.000 1
Sn1 0.500 0.000 0.500 1
Hg1 0.500 0.500 0.000 1
```

=====

Below is a geometry-optimized HoMgSnHg structure, with properties calculated at the GGA-PBE level.

Computed properties:
Calculated total energy   -2.9913 eV/atom
Relative energy among the computed polymorphs   8.5 kJ per mole of atoms
Mass density   8.695 g cm⁻³
DFT formation energy   -0.372 eV per atom

Structure (CIF):
```
data_HoMgSnHg
_chemical_formula_sum 'Ho1 Mg1 Sn1 Hg1'
_cell_length_a 5.160
_cell_length_b 5.160
_cell_length_c 5.160
_cell_angle_alpha 60.00
_cell_angle_beta 60.00
_cell_angle_gamma 60.00
_space_group_name_H-M_alt 'P 1'
_space_group_IT_number 1
loop_
_space_group_symop_operation_xyz
'x,y,z'
loop_
_atom_site_label
_atom_site_fract_x
_atom_site_fract_y
_atom_site_fract_z
_atom_site_occupancy
Mg1 0.500 0.500 0.500 1
Hg1 0.750 0.750 0.750 1
Sn1 0.250 0.250 0.250 1
Ho1 0.000 0.000 0.000 1
```

=====

Below is a geometry-optimized Tb2HoMgHg4 structure, with properties calculated at the GGA-PBE level.

Computed properties:
Calculated total energy   -2.5520 eV/atom
Mass density   11.020 g cm⁻³
DFT formation energy   -0.472 eV per atom

Structure (CIF):
```
data_Tb2HoMgHg4
_chemical_formula_sum 'Tb2 Ho1 Mg1 Hg4'
_cell_length_a 5.161
_cell_length_b 5.161
_cell_length_c 9.058
_cell_angle_alpha 73.45
_cell_angle_beta 73.45
_cell_angle_gamma 60.00
_space_group_name_H-M_alt 'P 1'
_space_group_IT_number 1
loop_
_space_group_symop_operation_xyz
'x,y,z'
loop_
_atom_site_label
_atom_site_fract_x
_atom_site_fract_y
_atom_site_fract_z
_atom_site_occupancy
Tb1 0.755 0.755 0.736 1
Tb2 0.245 0.245 0.264 1
Ho1 0.000 0.000 0.000 1
Mg1 0.500 0.500 0.500 1
Hg1 0.373 0.373 0.881 1
Hg2 0.876 0.876 0.373 1
Hg3 0.124 0.124 0.627 1
Hg4 0.627 0.627 0.119 1
```

=====

Below is a geometry-optimized HoThMg2Hg4 structure, with properties calculated at the GGA-PBE level.

Computed properties:
Calculated total energy   -2.4213 eV/atom
Mass density   10.797 g cm⁻³
DFT formation energy   -0.372 eV per atom

Structure (CIF):
```
data_HoThMg2Hg4
_chemical_formula_sum 'Ho1 Th1 Mg2 Hg4'
_cell_length_a 5.103
_cell_length_b 5.103
_cell_length_c 9.008
_cell_angle_alpha 73.55
_cell_angle_beta 73.55
_cell_angle_gamma 60.00
_space_group_name_H-M_alt 'P 1'
_space_group_IT_number 1
loop_
_space_group_symop_operation_xyz
'x,y,z'
loop_
_atom_site_label
_atom_site_fract_x
_atom_site_fract_y
_atom_site_fract_z
_atom_site_occupancy
Ho1 0.500 0.500 0.500 1
Th1 0.000 0.000 0.000 1
Mg1 0.751 0.751 0.746 1
Mg2 0.249 0.249 0.254 1
Hg1 0.380 0.380 0.859 1
Hg2 0.873 0.873 0.382 1
Hg3 0.127 0.127 0.618 1
Hg4 0.620 0.620 0.141 1
```

=====

> Which of these has the highest calculated total energy?

PmHoMg2Hg4

=====

Copy entry 9 word for word.
Below is a geometry-optimized HoMgSnHg structure, with properties calculated at the GGA-PBE level.

Computed properties:
Calculated total energy   -3.0796 eV/atom
Relative energy among the computed polymorphs   0.0 kJ per mole of atoms
Mass density   8.827 g cm⁻³
DFT formation energy   -0.460 eV per atom

Structure (CIF):
```
data_HoMgSnHg
_chemical_formula_sum 'Ho1 Mg1 Sn1 Hg1'
_cell_length_a 4.242
_cell_length_b 4.614
_cell_length_c 4.888
_cell_angle_alpha 90.00
_cell_angle_beta 90.00
_cell_angle_gamma 90.00
_space_group_name_H-M_alt 'P 1'
_space_group_IT_number 1
loop_
_space_group_symop_operation_xyz
'x,y,z'
loop_
_atom_site_label
_atom_site_fract_x
_atom_site_fract_y
_atom_site_fract_z
_atom_site_occupancy
Ho1 0.000 0.500 0.500 1
Mg1 0.000 0.000 0.000 1
Sn1 0.500 0.000 0.500 1
Hg1 0.500 0.500 0.000 1
```

=====

> calculated total energy of number 11 (Tb2HoMgHg4)?

-2.5520 eV/atom